Below is a geometry-optimized NaLu2Al structure, with properties calculated at the GGA-PBE level.

## Properties
* M_tot: 0.000 μB/atom
* D(E_F): 4.39 states/eV per cell
* offset from the most stable computed form: 136.7 meV/atom
* space group: R-3m, No. 166

The structure in POSCAR format:
```
NaLu2Al
1.0
-1.3316 -0.5462 -3.1092
-3.2892 -0.9040 -0.3203
-4.4943 10.4996 -1.8074
Lu Na Al
2 1 1
direct
0.1011 0.1011 0.6967
0.8989 0.8989 0.3033
0.0000 0.0000 0.0000
0.5000 0.5000 0.5000
```